Record 1
Material: BaCdTe2
Method: DFT, GGA-PBE
State: optimized geometry

extended XYZ file:
```
16
Lattice="-0.289 -2.169 -4.124 7.735 -1.962 0.491 -4.137 -14.346 7.836" Properties=species:S:1:pos:R:3 pbc="T T T"
Te 2.614 -13.407 2.906
Te 4.824 -5.149 1.049
Te 1.832 -1.384 -0.721
Te 1.478 -17.094 4.924
Te 3.824 -8.870 3.077
Te 0.696 -5.071 1.297
Te -0.514 -9.608 1.126
Te -1.514 -13.329 3.154
Ba 3.831 -14.504 6.040
Ba 2.581 -7.610 -0.141
Ba -0.521 -3.974 -1.837
Ba 0.729 -10.867 4.344
Cd -0.996 -6.957 2.408
Cd -1.067 -15.759 4.400
Cd 4.306 -11.520 1.795
Cd 4.377 -2.719 -0.197
```

Output
Its mass density is 5329 kg/m3. Its total energy is -3.356 eV/atom.

=====

Record 2
Material: Ac2DyY3Bi6
Method: DFT, GGA-PBE
State: optimized geometry

extended XYZ file:
```
12
Lattice="8.007 -0.001 -0.002 -4.002 6.935 -0.002 -1.338 -2.317 7.536" Properties=species:S:1:pos:R:3 pbc="T T T"
Bi -1.287 2.219 1.984
Bi 2.725 4.718 2.012
Bi -0.058 -0.101 5.519
Bi 0.101 4.623 5.547
Bi 2.566 -0.006 1.984
Bi 3.954 2.398 5.547
Dy 0.000 0.000 0.000
Ac 3.985 2.322 -0.002
Ac 0.019 4.612 -0.002
Y -2.611 4.586 3.766
Y 1.333 2.308 3.766
Y 5.277 0.031 3.766
```

Output
The calculation puts the density of states at the Fermi level at 0.186 states/eV per atom. Its mass density is 8483 kg/m3. As for the formation energy: -87.0 kJ/mol of atoms. Its total energy is -5.527 eV/atom.